#1
Density functional theory data (PBE-GGA) for crystalline Cd3Si at its relaxed geometry.

Computed properties:
The space group is Pmmn (59).

a b c (Å): 5.5197 5.5183 5.7221
angles (deg): 90.00 90.00 90.00
With the nearest neighbours (Å) after each atom.
Fractional positions:
Cd 0.5000 0.2542 0.0000  2 Si 2.86, 8 Cd 3.10-3.11
Cd 0.0000 0.7458 0.5000  2 Si 2.86, 8 Cd 3.10-3.11
Cd 0.0000 0.2467 0.2500  6 Cd 2.86-3.11, 4 Si 3.10-3.11
Cd 0.0000 0.2467 0.7500  6 Cd 2.86-3.11, 4 Si 3.10-3.11
Cd 0.5000 0.7533 0.7500  6 Cd 2.86-3.11, 4 Si 3.10-3.11
Cd 0.5000 0.7533 0.2500  6 Cd 2.86-3.11, 4 Si 3.10-3.11
Si 0.0000 0.7478 0.0000  10 Cd 2.86-3.11
Si 0.5000 0.2522 0.5000  10 Cd 2.86-3.11

***

#2
Density functional theory data (PBE-GGA) for crystalline Cd3Si at its relaxed geometry.

Computed properties:
The space group is Cmcm (63).

a b c (Å): 8.4333 8.4333 3.7928
angles (deg): 90.00 90.00 133.64
With the nearest neighbours (Å) after each atom.
Fractional positions:
Cd 0.0719 0.9281 0.7500  6 Cd 2.93-3.03
Cd 0.9281 0.0719 0.2500  6 Cd 2.93-3.03
Cd 0.0731 0.4311 0.7500  1 Si 2.69, 2 Cd 2.91
Cd 0.9269 0.5689 0.2500  1 Si 2.69, 2 Cd 2.91
Cd 0.5689 0.9269 0.7500  1 Si 2.69, 2 Cd 2.91
Cd 0.4311 0.0731 0.2500  1 Si 2.69, 2 Cd 2.91
Si 0.5422 0.4578 0.2500  2 Si 2.30
Si 0.4578 0.5422 0.7500  2 Si 2.30

***

Going by the energies, #2 is most stable and the next is 70 meV per atom up.

***

#1
Density functional theory data (PBE-GGA) for crystalline SrMn2Re at its relaxed geometry.

Computed properties:
The space group is I-4m2 (119).

a b c (Å): 5.4170 5.4170 5.4170
angles (deg): 136.06 136.06 63.89
With the nearest neighbours (Å) after each atom.
Fractional positions:
Mn 0.0000 0.0000 0.0000  4 Re 2.87, 4 Sr 3.06, 4 Mn 3.06
Mn 0.2500 0.7500 0.5000  4 Sr 2.87, 4 Re 3.06, 4 Mn 3.06
Re 0.5000 0.5000 0.0000  8 Mn 2.87-3.06, 4 Sr 3.06
Sr 0.7500 0.2500 0.5000  8 Mn 2.87-3.06, 4 Re 3.06

***

#2
Density functional theory data (PBE-GGA) for crystalline SrMn2Re at its relaxed geometry.

Computed properties:
The space group is Imm2 (44).

a b c (Å): 6.6217 6.6217 6.6217
angles (deg): 149.06 143.63 48.48
With the nearest neighbours (Å) after each atom.
Fractional positions:
Mn 0.9729 0.9729 0.0000  2 Mn 2.53, 4 Re 2.72
Mn 0.3514 0.8514 0.5000  2 Re 2.24
Re 0.4660 0.4660 0.0000  2 Mn 2.24
Sr 0.7097 0.2097 0.5000  6 Mn 3.21-3.53, 2 Re 3.43, 2 Sr 3.53

***

Going by the energies, #2 is most stable and the next is 410 meV per atom up.